[1]
{"formula": "Rb4Au6S5", "functional": "PBEsol", "state": "optimized geometry", "formation_energy_uncorrected_ev_per_atom": -0.611, "sg": "P-62c (190)", "total_magnetization_mub_per_fu": 0.0, "lattice_angstrom": [[9.859, 0.000, 0.000], [-4.930, 8.539, 0.000], [0.000, 0.000, 9.833]], "species": ["Rb", "Rb", "Rb", "Rb", "Rb", "Rb", "Rb", "Rb", "Au", "Au", "Au", "Au", "Au", "Au", "Au", "Au", "Au", "Au", "Au", "Au", "S", "S", "S", "S", "S", "S", "S", "S", "S", "S"], "fractional_positions": [[0.000, 0.000, 0.000], [0.000, 0.000, 0.500], [0.070, 0.419, 0.250], [0.350, 0.930, 0.250], [0.419, 0.070, 0.750], [0.581, 0.650, 0.250], [0.650, 0.581, 0.750], [0.930, 0.350, 0.750], [0.165, 0.713, 0.588], [0.165, 0.713, 0.912], [0.287, 0.452, 0.588], [0.287, 0.452, 0.912], [0.452, 0.287, 0.088], [0.452, 0.287, 0.412], [0.548, 0.835, 0.588], [0.548, 0.835, 0.912], [0.713, 0.165, 0.088], [0.713, 0.165, 0.412], [0.835, 0.548, 0.088], [0.835, 0.548, 0.412], [0.032, 0.769, 0.750], [0.231, 0.263, 0.750], [0.263, 0.231, 0.250], [0.333, 0.667, 0.042], [0.333, 0.667, 0.458], [0.667, 0.333, 0.542], [0.667, 0.333, 0.958], [0.737, 0.968, 0.750], [0.769, 0.032, 0.250], [0.968, 0.737, 0.250]]}

=====

[2]
{"formula": "RbSb2Au3S5", "functional": "PBEsol", "state": "optimized geometry", "formation_energy_uncorrected_ev_per_atom": -0.367, "sg": "Pnnm (58)", "total_magnetization_mub_per_fu": 0.0, "lattice_angstrom": [[12.418, 0.000, 0.000], [0.000, 25.761, 0.000], [0.000, 0.000, 6.998]], "species": ["Rb", "Rb", "Rb", "Rb", "Rb", "Rb", "Rb", "Rb", "Sb", "Sb", "Sb", "Sb", "Sb", "Sb", "Sb", "Sb", "Sb", "Sb", "Sb", "Sb", "Sb", "Sb", "Sb", "Sb", "Au", "Au", "Au", "Au", "Au", "Au", "Au", "Au", "Au", "Au", "Au", "Au", "Au", "Au", "Au", "Au", "Au", "Au", "Au", "Au", "Au", "Au", "Au", "Au", "S", "S", "S", "S", "S", "S", "S", "S", "S", "S", "S", "S", "S", "S", "S", "S", "S", "S", "S", "S", "S", "S", "S", "S", "S", "S", "S", "S", "S", "S", "S", "S", "S", "S", "S", "S", "S", "S", "S", "S"], "fractional_positions": [[0.160, 0.066, 0.000], [0.180, 0.486, 0.000], [0.320, 0.986, 0.500], [0.340, 0.566, 0.500], [0.660, 0.434, 0.500], [0.680, 0.014, 0.500], [0.820, 0.514, 0.000], [0.840, 0.934, 0.000], [0.031, 0.374, 0.500], [0.053, 0.882, 0.500], [0.075, 0.658, 0.000], [0.186, 0.896, 0.000], [0.314, 0.396, 0.500], [0.425, 0.158, 0.500], [0.447, 0.382, 0.000], [0.469, 0.874, 0.000], [0.531, 0.126, 0.000], [0.553, 0.618, 0.000], [0.575, 0.842, 0.500], [0.686, 0.604, 0.500], [0.814, 0.104, 0.000], [0.925, 0.342, 0.000], [0.947, 0.118, 0.500], [0.969, 0.626, 0.500], [0.010, 0.769, 0.252], [0.010, 0.769, 0.748], [0.186, 0.308, 0.244], [0.186, 0.308, 0.756], [0.193, 0.182, 0.500], [0.232, 0.214, 0.000], [0.268, 0.714, 0.500], [0.307, 0.682, 0.000], [0.314, 0.808, 0.256], [0.314, 0.808, 0.744], [0.490, 0.269, 0.248], [0.490, 0.269, 0.752], [0.510, 0.731, 0.248], [0.510, 0.731, 0.752], [0.686, 0.192, 0.256], [0.686, 0.192, 0.744], [0.693, 0.318, 0.000], [0.732, 0.286, 0.500], [0.768, 0.786, 0.000], [0.807, 0.818, 0.500], [0.814, 0.692, 0.244], [0.814, 0.692, 0.756], [0.990, 0.231, 0.252], [0.990, 0.231, 0.748], [0.057, 0.184, 0.000], [0.085, 0.722, 0.500], [0.094, 0.948, 0.250], [0.094, 0.948, 0.750], [0.096, 0.591, 0.252], [0.096, 0.591, 0.748], [0.132, 0.362, 0.000], [0.138, 0.097, 0.500], [0.157, 0.454, 0.500], [0.238, 0.765, 0.000], [0.262, 0.265, 0.500], [0.343, 0.954, 0.000], [0.362, 0.597, 0.000], [0.368, 0.862, 0.500], [0.404, 0.091, 0.248], [0.404, 0.091, 0.752], [0.406, 0.448, 0.250], [0.406, 0.448, 0.750], [0.415, 0.222, 0.000], [0.443, 0.684, 0.500], [0.557, 0.316, 0.500], [0.585, 0.778, 0.000], [0.594, 0.552, 0.250], [0.594, 0.552, 0.750], [0.596, 0.909, 0.248], [0.596, 0.909, 0.752], [0.632, 0.138, 0.500], [0.638, 0.403, 0.000], [0.657, 0.046, 0.000], [0.738, 0.735, 0.500], [0.762, 0.235, 0.000], [0.843, 0.546, 0.500], [0.862, 0.903, 0.500], [0.868, 0.638, 0.000], [0.904, 0.409, 0.252], [0.904, 0.409, 0.748], [0.906, 0.052, 0.250], [0.906, 0.052, 0.750], [0.915, 0.278, 0.500], [0.943, 0.816, 0.000]]}

=====

[3]
{"formula": "Rb3Sb2Au3", "functional": "PBEsol", "state": "optimized geometry", "formation_energy_uncorrected_ev_per_atom": -0.410, "sg": "R-3m (166)", "total_magnetization_mub_per_fu": 0.0, "lattice_angstrom": [[3.181, 1.837, 7.263], [-3.181, 1.837, 7.263], [0.000, -3.673, 7.263]], "species": ["Rb", "Rb", "Rb", "Sb", "Sb", "Au", "Au", "Au"], "fractional_positions": [[0.000, 0.000, 0.000], [0.419, 0.419, 0.419], [0.581, 0.581, 0.581], [0.255, 0.255, 0.255], [0.745, 0.745, 0.745], [0.000, 0.000, 0.500], [0.000, 0.500, 0.000], [0.500, 0.000, 0.000]]}

=====

[4]
{"formula": "RbSbAu2", "functional": "PBEsol", "state": "optimized geometry", "formation_energy_uncorrected_ev_per_atom": -0.198, "sg": "I-42d (122)", "total_magnetization_mub_per_fu": 0.0, "lattice_angstrom": [[5.692, 0.000, 0.000], [0.000, 5.692, 0.000], [0.000, 0.000, 17.419]], "species": ["Rb", "Rb", "Rb", "Rb", "Sb", "Sb", "Sb", "Sb", "Au", "Au", "Au", "Au", "Au", "Au", "Au", "Au"], "fractional_positions": [[0.000, 0.000, 0.000], [0.000, 0.500, 0.250], [0.500, 0.000, 0.750], [0.500, 0.500, 0.500], [0.000, 0.000, 0.500], [0.000, 0.500, 0.750], [0.500, 0.000, 0.250], [0.500, 0.500, 0.000], [0.002, 0.750, 0.625], [0.250, 0.002, 0.375], [0.250, 0.498, 0.875], [0.498, 0.750, 0.125], [0.502, 0.250, 0.125], [0.750, 0.502, 0.875], [0.750, 0.998, 0.375], [0.998, 0.250, 0.625]]}

=====

[5]
{"formula": "RbScAu3", "functional": "PBEsol", "state": "optimized geometry", "sg": "Pm-3m (221)", "total_magnetization_mub_per_fu": 0.6, "formation_enthalpy_0k_ev_per_atom": 1.291, "lattice_angstrom": [[5.419, 0.000, 0.000], [0.000, 5.419, 0.000], [0.000, 0.000, 5.419]], "species": ["Rb", "Sc", "Au", "Au", "Au"], "fractional_positions": [[0.000, 0.000, 0.000], [0.500, 0.500, 0.500], [0.000, 0.000, 0.500], [0.000, 0.500, 0.000], [0.500, 0.000, 0.000]]}

=====

[6]
{"formula": "Rb2AuSe2", "functional": "PBEsol", "state": "optimized geometry", "formation_energy_uncorrected_ev_per_atom": -0.590, "sg": "I4/mmm (139)", "total_magnetization_mub_per_fu": 0.9, "lattice_angstrom": [[6.755, 0.000, 0.000], [0.000, 6.755, 0.000], [0.000, 0.000, 9.773]], "species": ["Rb", "Rb", "Rb", "Rb", "Au", "Au", "Se", "Se", "Se", "Se"], "fractional_positions": [[0.000, 0.500, 0.250], [0.000, 0.500, 0.750], [0.500, 0.000, 0.250], [0.500, 0.000, 0.750], [0.000, 0.000, 0.000], [0.500, 0.500, 0.500], [0.000, 0.000, 0.241], [0.000, 0.000, 0.759], [0.500, 0.500, 0.259], [0.500, 0.500, 0.741]]}

=====

[7]
{"formula": "RbAu3Se2", "functional": "PBEsol", "state": "optimized geometry", "formation_energy_uncorrected_ev_per_atom": -0.365, "sg": "P-3m1 (164)", "total_magnetization_mub_per_fu": 0.0, "lattice_angstrom": [[5.997, 0.000, 0.000], [-2.999, 5.194, 0.000], [0.000, 0.000, 5.335]], "species": ["Rb", "Au", "Au", "Au", "Se", "Se"], "fractional_positions": [[0.000, 0.000, 0.000], [0.000, 0.500, 0.500], [0.500, 0.000, 0.500], [0.500, 0.500, 0.500], [0.333, 0.667, 0.827], [0.667, 0.333, 0.173]]}

=====

[8]
{"formula": "RbSi2Au", "functional": "PBEsol", "state": "optimized geometry", "formation_energy_uncorrected_ev_per_atom": 0.141, "sg": "I4_1/amd (141)", "total_magnetization_mub_per_fu": 0.0, "lattice_angstrom": [[4.975, 0.000, 0.000], [0.000, 4.975, 0.000], [0.000, 0.000, 17.099]], "species": ["Rb", "Rb", "Rb", "Rb", "Si", "Si", "Si", "Si", "Si", "Si", "Si", "Si", "Au", "Au", "Au", "Au"], "fractional_positions": [[0.000, 0.250, 0.375], [0.000, 0.750, 0.625], [0.500, 0.250, 0.125], [0.500, 0.750, 0.875], [0.000, 0.000, 0.000], [0.000, 0.500, 0.000], [0.250, 0.250, 0.750], [0.250, 0.750, 0.250], [0.500, 0.000, 0.500], [0.500, 0.500, 0.500], [0.750, 0.250, 0.750], [0.750, 0.750, 0.250], [0.000, 0.250, 0.875], [0.000, 0.750, 0.125], [0.500, 0.250, 0.625], [0.500, 0.750, 0.375]]}